# 1
The following is a PBE calculation of a relaxed La2AlZn3Pd4 crystal, from Alexandria.

Cell: 4.307 4.307 10.648 Å, 90.00 90.00 90.00°
Sites, in units of the cell vectors:
La1 0.500 0.000 0.244
La2 0.000 0.500 0.756
Al1 0.500 0.500 0.500
Zn1 0.000 0.000 0.500
Zn2 0.500 0.000 0.869
Zn3 0.000 0.500 0.131
Pd1 0.500 0.500 0.000
Pd2 0.000 0.000 0.000
Pd3 0.500 0.000 0.631
Pd4 0.000 0.500 0.369

Values from the calculation:
As for the crystal system: tetragonal. The calculation puts the final energy at -4.510 eV/atom. As for the symmetry: P-4m2. The calculation puts the energy of formation at -66.7 kJ/mol of atoms.

# 2
The following is a PBE calculation of a relaxed SmPaTeN2 crystal, from Alexandria.

Cell: 4.009 4.009 6.967 Å, 106.72 106.72 90.00°
Sites, in units of the cell vectors:
Sm1 0.842 0.842 0.684
Pa1 0.170 0.170 0.339
Te1 0.504 0.504 0.008
N1 0.742 0.242 0.484
N2 0.242 0.742 0.484

Values from the calculation:
As for the crystal system: tetragonal. The calculation puts the final energy at -8.491 eV/atom. As for the symmetry: I4mm. The value obtained for the formation energy (no corrections) is -1689 meV/atom.

# 3
The following is a PBE calculation of a relaxed CsSc2Ir crystal, from Alexandria.

Cell: 5.033 5.033 5.033 Å, 60.00 60.00 60.00°
Sites, in units of the cell vectors:
Cs1 0.000 0.000 0.000
Sc1 0.250 0.250 0.250
Sc2 0.750 0.750 0.750
Ir1 0.500 0.500 0.500

Values from the calculation:
As for the crystal system: cubic. The calculation puts the final energy at -5.148 eV/atom. As for the symmetry: Fm-3m. The calculation puts the energy of formation at 43.1 kJ/mol of atoms.

# 4
The following is a PBE calculation of a relaxed SrLa3Os crystal, from Alexandria.

Cell: 6.758 9.332 10.944 Å, 45.56 51.87 56.89°
Sites, in units of the cell vectors:
Sr1 0.725 0.656 0.792
Sr2 0.044 0.113 0.564
Os1 0.601 0.400 0.420
Os2 0.168 0.369 0.936
La1 0.997 0.603 0.070
La2 0.228 0.665 0.288
La3 0.269 0.166 0.789
La4 0.540 0.104 0.068
La5 0.772 0.166 0.286
La6 0.500 0.603 0.567

Values from the calculation:
As for the crystal system: monoclinic. The calculation puts the final energy at -5.608 eV/atom. As for the symmetry: C2/m. The calculation puts the energy of formation at -6.7 kJ/mol of atoms.